Computed, not measured: a PBEsol-optimized structure of ScAs2 at the meta-GGA SCAN level of DFT.

Cell: 3.5812 5.0995 7.2238 Å, 105.10 90.00 110.56°
Positions (direct):
Sc: 0.6691 0.3383 0.6669
Sc: 0.3309 0.6617 0.3331
As: 0.0536 0.1072 0.3580
As: 0.6678 0.3357 0.0463
As: 0.9464 0.8928 0.6420
As: 0.3322 0.6643 0.9537

## Properties
**Final energy**: -57.1 eV/f.u.
**Energy of formation**: -0.838 eV/atom
**DOS(E_F)**: 2.04 states/eV per cell

Computed, not measured: a PBEsol-optimized structure of Sc4As5 at the meta-GGA SCAN level of DFT.

Cell: 3.9979 6.9034 6.9034 Å, 85.19 73.17 73.17°
Positions (direct):
As: 0.3200 0.3600 0.0000
As: 0.6800 0.0000 0.6400
As: 0.0000 0.0000 0.0000
As: 0.6800 0.6400 0.0000
As: 0.3200 0.0000 0.3600
Sc: 0.0000 0.7182 0.2818
Sc: 0.0000 0.2818 0.7182
Sc: 0.7182 0.2818 0.2818
Sc: 0.2818 0.7182 0.7182

## Properties
**Final energy**: -165.4 eV/f.u.
**Energy of formation**: -0.834 eV/atom
**DOS(E_F)**: 3.70 states/eV per cell